[1]
An optimized crystal structure of Pm8Ru3PtBr4. Source: Alexandria via LeMat-Bulk, functional PBE-GGA.

## Properties
As for the crystal system: trigonal. For the density of states at the Fermi level, the calculation gives 5.61 states/eV per cell. As for the symmetry: R-3m. The total moment is 0.00 μB per formula unit. Its calculated total energy is -5.825 eV per atom.

Cell lengths 8.170, 9.134, 8.168 Å; angles 116.54, 120.01, 90.00 degrees
Element x y z (fractional)
Pm1 0.721 0.696 0.959
Pm2 0.733 0.699 0.466
Ru1 0.500 0.500 0.500
Pm3 0.762 0.304 0.041
Pt1 0.000 0.500 0.000
Pm4 0.238 0.696 0.959
Br1 0.000 0.000 0.500
Pm5 0.763 0.304 0.525
Br2 0.500 0.000 0.000
Br3 0.000 0.000 0.000
Pm6 0.237 0.696 0.475
Pm7 0.267 0.301 0.534
Br4 0.500 0.000 0.500
Ru2 0.000 0.500 0.500
Ru3 0.500 0.500 0.000
Pm8 0.279 0.304 0.041

[2]
An optimized crystal structure of Pm6Pt2SBr3. Source: Alexandria via LeMat-Bulk, functional PBE-GGA.

## Properties
As for the crystal system: monoclinic. For the density of states at the Fermi level, the calculation gives 10.63 states/eV per cell. As for the symmetry: C2/m. The total moment is 0.00 μB per formula unit. Its calculated total energy is -5.483 eV per atom.

Cell lengths 7.344, 7.344, 7.744 Å; angles 99.04, 99.04, 119.78 degrees
Element x y z (fractional)
Br1 0.159 0.841 0.500
Pm1 0.721 0.721 0.200
Br2 0.500 0.500 0.500
Br3 0.841 0.159 0.500
Pm2 0.587 0.932 0.798
Pm3 0.279 0.279 0.800
S1 0.000 0.000 0.000
Pm4 0.068 0.413 0.202
Pt1 0.333 0.667 0.000
Pm5 0.413 0.068 0.202
Pm6 0.932 0.587 0.798
Pt2 0.667 0.333 0.000